# 1
A relaxed CsBeHg crystal. Source: the Alexandria database, functional PBE.

Lattice parameters (Å, degrees): 4.1449 6.2707 4.1521 90.00 114.76 90.00
Fractional positions:
Cs (0.0000, 0.0000, 0.0000)
Be (0.6799, 0.5000, 0.3154)
Hg (0.3264, 0.5000, 0.6706)

Summary:
- DFT formation energy: 110 kJ/mol of formula units
- Raw total energy: -0.092 Ry per atom
- Polymorph energy (0 for the lowest one): 0.52 eV/f.u.
- Mass density: 5.80 Mg/m³

---

# 2
A relaxed LaSn3O crystal. Source: the Alexandria database, functional PBE.

Lattice parameters (Å, degrees): 4.9015 4.9015 4.9015 90.00 90.00 90.00
Fractional positions:
La (0.0000, 0.0000, 0.0000)
Sn (0.0000, 0.5000, 0.5000)
Sn (0.5000, 0.0000, 0.5000)
Sn (0.5000, 0.5000, 0.0000)
O (0.5000, 0.5000, 0.5000)

Summary:
- Energy relative to the elements, uncorrected: -676 meV/atom
- Raw total energy: -0.372 Ry per atom
- Polymorph energy (0 for the lowest one): 0.00 eV/f.u.
- Mass density: 7.21 Mg/m³

---

# 3
A relaxed PaTa3 crystal. Source: the Alexandria database, functional PBE.

Lattice parameters (Å, degrees): 4.8707 4.8707 3.3473 90.00 90.00 90.00
Fractional positions:
Pa (0.0000, 0.0000, 0.0000)
Ta (0.0000, 0.5000, 0.5000)
Ta (0.5000, 0.0000, 0.5000)
Ta (0.5000, 0.5000, 0.0000)

Summary:
- DFT formation energy: 84 kJ/mol of formula units
- Raw total energy: -0.812 Ry per atom
- Polymorph energy (0 for the lowest one): 0.48 eV/f.u.
- Mass density: 16.18 Mg/m³

---

# 4
A relaxed La2Al2Te crystal. Source: the Alexandria database, functional PBE.

Lattice parameters (Å, degrees): 7.9803 7.9803 4.4276 90.00 90.00 90.00
Fractional positions:
La (0.1771, 0.3229, 0.0000)
La (0.3229, 0.8229, 0.0000)
La (0.6771, 0.1771, 0.0000)
La (0.8229, 0.6771, 0.0000)
Al (0.1160, 0.6160, 0.5000)
Al (0.3840, 0.1160, 0.5000)
Al (0.6160, 0.8840, 0.5000)
Al (0.8840, 0.3840, 0.5000)
Te (0.0000, 0.0000, 0.5000)
Te (0.5000, 0.5000, 0.5000)

Summary:
- Energy relative to the elements, uncorrected: -552 meV/atom
- Raw total energy: -0.342 Ry per atom
- Mass density: 5.41 Mg/m³

---

| no. | D(E_F) (states/eV/cell) |
| --- | --- |
| 1 | 2.14 |
| 2 | 2.78 |
| 3 | 7.19 |
| 4 | 0.73 |